Material: Li7Mn2Co3O12
Method: DFT, GGA+U
State: relaxed

The structure in POSCAR format:
```
Li7Mn2Co3O12
1.0
7.625 -1.436 0.000
7.625 1.436 0.000
-6.645 0.000 9.664
Li Mn Co O
7 2 3 12
direct
0.000 0.000 0.000
0.001 0.001 0.245
0.010 0.010 0.767
0.330 0.330 0.243
0.350 0.350 0.772
0.648 0.648 0.236
0.678 0.678 0.763
0.007 0.007 0.508
0.665 0.665 0.002
0.334 0.334 0.501
0.350 0.350 0.010
0.668 0.668 0.499
0.159 0.159 0.607
0.167 0.167 0.389
0.168 0.168 0.117
0.172 0.172 0.894
0.492 0.492 0.126
0.510 0.510 0.398
0.510 0.510 0.620
0.516 0.516 0.885
0.820 0.820 0.605
0.823 0.823 0.114
0.833 0.833 0.883
0.854 0.854 0.400
```

Properties
The calculation puts the energy relative to the lowest polymorph listed for this composition at 0.0902 eV/atom. The value obtained for the total moment is 0.47 μB/cell.